1.
## RuO (GGA-PBE)

Data for a geometry-optimized RuO structure.

```
data_RuO
_chemical_formula_sum 'Ru6 O6'
_cell_length_a 5.780
_cell_length_b 5.780
_cell_length_c 5.780
_cell_angle_alpha 90.00
_cell_angle_beta 90.00
_cell_angle_gamma 90.00
_symmetry_space_group_name_H-M 'P m -3 n'
_symmetry_Int_Tables_number 223
_symmetry_space_group_name_Hall '-P 4n 2 3'
loop_
_atom_site_label
_atom_site_type_symbol
_atom_site_fract_x
_atom_site_fract_y
_atom_site_fract_z
Ru1 Ru 0.000 0.250 0.500
O1 O 0.000 0.500 0.250
```

Results
Formation energy without anion corrections ... 0.39 eV/atom
Total DFT energy (no corrections) ... -6.728 eV per atom
N(E_F) ... 1.724 states/eV per atom

***

2.
## RuO (GGA-PBE)

Data for a geometry-optimized RuO structure.

```
data_RuO
_chemical_formula_sum 'Ru8 O8'
_cell_length_a 8.915
_cell_length_b 8.915
_cell_length_c 2.801
_cell_angle_alpha 90.00
_cell_angle_beta 90.00
_cell_angle_gamma 90.00
_symmetry_space_group_name_H-M 'P 4/m'
_symmetry_Int_Tables_number 83
_symmetry_space_group_name_Hall '-P 4'
loop_
_atom_site_label
_atom_site_type_symbol
_atom_site_fract_x
_atom_site_fract_y
_atom_site_fract_z
Ru1 Ru 0.113 0.352 0.000
Ru2 Ru 0.123 0.772 0.500
O1 O 0.101 0.605 0.000
O2 O 0.274 0.341 0.500
```

Results
Formation energy without anion corrections ... -0.27 eV/atom
Total DFT energy (no corrections) ... -7.390 eV per atom
N(E_F) ... 0.679 states/eV per atom

***

3.
## RuO2 (GGA-PBE)

Data for a geometry-optimized RuO2 structure.

```
data_RuO2
_chemical_formula_sum 'Ru4 O8'
_cell_length_a 4.855
_cell_length_b 4.855
_cell_length_c 4.855
_cell_angle_alpha 90.00
_cell_angle_beta 90.00
_cell_angle_gamma 90.00
_symmetry_space_group_name_H-M 'F m -3 m'
_symmetry_Int_Tables_number 225
_symmetry_space_group_name_Hall '-F 4 2 3'
loop_
_atom_site_label
_atom_site_type_symbol
_atom_site_fract_x
_atom_site_fract_y
_atom_site_fract_z
Ru1 Ru 0.000 0.000 0.000
O1 O 0.250 0.250 0.250
```

Results
Formation energy without anion corrections ... -0.79 eV/atom
Total DFT energy (no corrections) ... -7.190 eV per atom

***

4.
## RuO (GGA-PBE)

Data for a geometry-optimized RuO structure.

```
data_RuO
_chemical_formula_sum 'Ru8 O8'
_cell_length_a 4.995
_cell_length_b 5.013
_cell_length_c 7.947
_cell_angle_alpha 90.00
_cell_angle_beta 90.00
_cell_angle_gamma 90.00
_symmetry_space_group_name_H-M 'P 21 21 21'
_symmetry_Int_Tables_number 19
_symmetry_space_group_name_Hall 'P 2ac 2ab'
loop_
_atom_site_label
_atom_site_type_symbol
_atom_site_fract_x
_atom_site_fract_y
_atom_site_fract_z
Ru1 Ru 0.051 0.033 0.187
Ru2 Ru 0.056 0.317 0.722
O1 O 0.040 0.096 0.941
O2 O 0.085 0.661 0.098
```

Results
Formation energy without anion corrections ... -0.25 eV/atom
Total DFT energy (no corrections) ... -7.363 eV per atom
N(E_F) ... 0.928 states/eV per atom

***

5.
## RuO2 (GGA-PBE)

Data for a geometry-optimized RuO2 structure.

```
data_RuO2
_chemical_formula_sum 'Ru4 O8'
_cell_length_a 4.898
_cell_length_b 4.898
_cell_length_c 4.898
_cell_angle_alpha 90.00
_cell_angle_beta 90.00
_cell_angle_gamma 90.00
_symmetry_space_group_name_H-M 'P a -3'
_symmetry_Int_Tables_number 205
_symmetry_space_group_name_Hall '-P 2ac 2ab 3'
loop_
_atom_site_label
_atom_site_type_symbol
_atom_site_fract_x
_atom_site_fract_y
_atom_site_fract_z
Ru1 Ru 0.000 0.000 0.000
O1 O 0.149 0.649 0.851
```

Results
Formation energy without anion corrections ... -0.92 eV/atom
Total DFT energy (no corrections) ... -7.317 eV per atom
N(E_F) ... 0.438 states/eV per atom

***

6.
## RuO (GGA-PBE)

Data for a geometry-optimized RuO structure.

```
data_RuO
_chemical_formula_sum 'Ru8 O8'
_cell_length_a 8.272
_cell_length_b 8.272
_cell_length_c 2.824
_cell_angle_alpha 90.00
_cell_angle_beta 90.00
_cell_angle_gamma 90.00
_symmetry_space_group_name_H-M 'I 4/m'
_symmetry_Int_Tables_number 87
_symmetry_space_group_name_Hall '-I 4'
loop_
_atom_site_label
_atom_site_type_symbol
_atom_site_fract_x
_atom_site_fract_y
_atom_site_fract_z
Ru1 Ru 0.080 0.211 0.000
O1 O 0.136 0.684 0.000
```

Results
Formation energy without anion corrections ... -0.41 eV/atom
Total DFT energy (no corrections) ... -7.527 eV per atom
N(E_F) ... 0.202 states/eV per atom

***

7.
## RuS4O (GGA-PBE)

Data for a geometry-optimized RuS4O structure.

```
data_RuS4O
_chemical_formula_sum 'Ru2 S8 O2'
_cell_length_a 6.439
_cell_length_b 7.081
_cell_length_c 7.086
_cell_angle_alpha 114.78
_cell_angle_beta 104.04
_cell_angle_gamma 103.45
_symmetry_space_group_name_H-M 'P -1'
_symmetry_Int_Tables_number 2
_symmetry_space_group_name_Hall '-P 1'
loop_
_atom_site_label
_atom_site_type_symbol
_atom_site_fract_x
_atom_site_fract_y
_atom_site_fract_z
Ru1 Ru 0.244 0.498 0.499
S1 S 0.017 0.682 0.388
S2 S 0.149 0.750 0.827
S3 S 0.402 0.210 0.408
S4 S 0.451 0.558 0.262
O1 O 0.233 0.999 0.921
```

Results
Formation energy without anion corrections ... -0.15 eV/atom
Total DFT energy (no corrections) ... -5.278 eV per atom

***

8.
## RuS3O (GGA-PBE)

Data for a geometry-optimized RuS3O structure.

```
data_RuS3O
_chemical_formula_sum 'Ru1 S3 O1'
_cell_length_a 4.123
_cell_length_b 4.123
_cell_length_c 4.123
_cell_angle_alpha 90.00
_cell_angle_beta 90.00
_cell_angle_gamma 90.00
_symmetry_space_group_name_H-M 'P m -3 m'
_symmetry_Int_Tables_number 221
_symmetry_space_group_name_Hall '-P 4 2 3'
loop_
_atom_site_label
_atom_site_type_symbol
_atom_site_fract_x
_atom_site_fract_y
_atom_site_fract_z
Ru1 Ru 0.000 0.000 0.000
S1 S 0.000 0.500 0.500
O1 O 0.500 0.500 0.500
```

Results
Excess energy over the best structure of this formula in the dataset ... 4.5 kJ/mol of atoms
Formation energy without anion corrections ... 1.07 eV/atom
Total DFT energy (no corrections) ... -4.253 eV per atom
N(E_F) ... 0.835 states/eV per atom

***

9.
## RuS3O (GGA-PBE)

Data for a geometry-optimized RuS3O structure.

```
data_RuS3O
_chemical_formula_sum 'Ru1 S3 O1'
_cell_length_a 4.525
_cell_length_b 4.525
_cell_length_c 4.525
_cell_angle_alpha 90.00
_cell_angle_beta 90.00
_cell_angle_gamma 90.00
_symmetry_space_group_name_H-M 'P m -3 m'
_symmetry_Int_Tables_number 221
_symmetry_space_group_name_Hall '-P 4 2 3'
loop_
_atom_site_label
_atom_site_type_symbol
_atom_site_fract_x
_atom_site_fract_y
_atom_site_fract_z
Ru1 Ru 0.000 0.000 0.000
S1 S 0.000 0.000 0.500
O1 O 0.500 0.500 0.500
```

Results
Excess energy over the best structure of this formula in the dataset ... 0.0 kJ/mol of atoms
Formation energy without anion corrections ... 1.02 eV/atom
Total DFT energy (no corrections) ... -4.300 eV per atom
N(E_F) ... 1.660 states/eV per atom

***

10.
## RuSO3 (GGA-PBE)

Data for a geometry-optimized RuSO3 structure.

```
data_RuSO3
_chemical_formula_sum 'Ru1 S1 O3'
_cell_length_a 3.834
_cell_length_b 3.834
_cell_length_c 3.834
_cell_angle_alpha 90.00
_cell_angle_beta 90.00
_cell_angle_gamma 90.00
_symmetry_space_group_name_H-M 'P m -3 m'
_symmetry_Int_Tables_number 221
_symmetry_space_group_name_Hall '-P 4 2 3'
loop_
_atom_site_label
_atom_site_type_symbol
_atom_site_fract_x
_atom_site_fract_y
_atom_site_fract_z
Ru1 Ru 0.000 0.000 0.000
S1 S 0.500 0.500 0.500
O1 O 0.000 0.000 0.500
```

Results
Formation energy without anion corrections ... 0.06 eV/atom
Total DFT energy (no corrections) ... -5.601 eV per atom
N(E_F) ... 0.641 states/eV per atom

***

11.
## RuSO3 (GGA-PBE)

Data for a geometry-optimized RuSO3 structure.

```
data_RuSO3
_chemical_formula_sum 'Ru1 S1 O3'
_cell_length_a 3.753
_cell_length_b 3.753
_cell_length_c 3.753
_cell_angle_alpha 90.00
_cell_angle_beta 90.00
_cell_angle_gamma 90.00
_symmetry_space_group_name_H-M 'P m -3 m'
_symmetry_Int_Tables_number 221
_symmetry_space_group_name_Hall '-P 4 2 3'
loop_
_atom_site_label
_atom_site_type_symbol
_atom_site_fract_x
_atom_site_fract_y
_atom_site_fract_z
Ru1 Ru 0.000 0.000 0.000
S1 S 0.500 0.500 0.500
O1 O 0.000 0.500 0.500
```

Results
Formation energy without anion corrections ... 0.50 eV/atom
Total DFT energy (no corrections) ... -5.156 eV per atom
N(E_F) ... 0.751 states/eV per atom

***

12.
## RuS2O (GGA-PBE)

Data for a geometry-optimized RuS2O structure.

```
data_RuS2O
_chemical_formula_sum 'Ru3 S6 O3'
_cell_length_a 3.6647
_cell_length_b 3.6647
_cell_length_c 16.5195
_cell_angle_alpha 90.00
_cell_angle_beta 90.00
_cell_angle_gamma 120.00
_symmetry_space_group_name_H-M 'R -3 m'
_symmetry_Int_Tables_number 166
_symmetry_space_group_name_Hall '-R 3 2"'
loop_
_atom_site_label
_atom_site_type_symbol
_atom_site_fract_x
_atom_site_fract_y
_atom_site_fract_z
Ru1 Ru 0.0000 0.0000 0.0000
S1 S 0.0000 0.0000 0.3980
O1 O 0.0000 0.0000 0.5000
```

Results
Excess energy over the best structure of this formula in the dataset ... 0.0 kJ/mol of atoms
Formation energy without anion corrections ... -0.20 eV/atom
Total DFT energy (no corrections) ... -5.818 eV per atom
N(E_F) ... 0.017 states/eV per atom